1.
DFT (PBE) results for a relaxed structure of Sm3Y2ScS6.

The structure in POSCAR format:
```
Sm3Y2ScS6
1.0
3.908 0.000 0.000
0.000 7.911 0.240
-1.954 -2.324 8.252
S Sc Sm Y
6 1 3 2
Direct
0.331 0.422 0.662
0.669 0.578 0.338
0.340 0.914 0.681
0.660 0.086 0.319
0.001 0.233 0.001
0.999 0.767 0.999
0.500 0.000 0.000
0.500 0.500 0.000
0.168 0.835 0.337
0.832 0.165 0.663
0.166 0.332 0.331
0.834 0.668 0.669
```

Output
DFT total energy: -81.9 eV for the cell shown


2.
DFT (PBE) results for a relaxed structure of LiMnIn2.

The structure in POSCAR format:
```
LiMnIn2
1.0
5.390 0.060 0.000
2.158 4.940 0.000
-3.774 -2.500 2.926
Li In Mn
1 2 1
Direct
0.500 0.500 0.000
0.000 0.000 0.000
0.250 0.750 0.500
0.750 0.250 0.500
```

Output
energy relative to the elements: 0.076 eV per atom


3.
DFT (PBE) results for a relaxed structure of TcRuO2.

The structure in POSCAR format:
```
TcRuO2
1.0
-4.917 3.156 3.734
-5.733 0.563 3.859
-3.837 1.477 5.583
Tc Ru O
1 1 2
Direct
0.500 0.500 0.500
0.000 0.000 0.000
0.901 0.901 0.901
0.099 0.099 0.099
```

Output
polymorph energy (0 for the lowest one): 0.0000 eV per atom


4.
DFT (PBE) results for a relaxed structure of PaInCuO5.

The structure in POSCAR format:
```
PaInCuO5
1.0
-0.911 -5.977 0.507
4.262 0.744 -4.253
4.739 -0.777 4.054
Cu O In Pa
2 10 2 2
Direct
0.254 0.746 0.750
0.746 0.254 0.250
0.517 0.309 0.080
0.691 0.483 0.420
0.483 0.691 0.920
0.165 0.835 0.250
0.835 0.165 0.750
0.077 0.284 0.236
0.284 0.077 0.736
0.309 0.517 0.580
0.923 0.716 0.764
0.716 0.923 0.264
0.000 0.000 0.000
0.000 0.000 0.500
0.606 0.394 0.750
0.394 0.606 0.250
```

Output
DFT total energy: -114.7 eV for the cell shown


5.
DFT (PBE) results for a relaxed structure of YMn2Se2.

The structure in POSCAR format:
```
YMn2Se2
1.0
-3.563 -2.981 -0.142
0.287 -0.121 -4.637
1.046 -4.771 -2.140
Se Y Mn
2 1 2
Direct
0.250 0.750 0.500
0.750 0.250 0.500
0.000 0.000 0.000
0.634 0.634 0.732
0.366 0.366 0.268
```

Output
polymorph energy (0 for the lowest one): 0.0000 eV per atom


6.
DFT (PBE) results for a relaxed structure of NaTlIn2.

The structure in POSCAR format:
```
NaTlIn2
1.0
4.098 0.000 0.000
0.000 4.098 0.000
0.000 0.000 6.695
In Tl Na
2 1 1
Direct
0.000 0.000 0.252
0.000 0.000 0.748
0.500 0.500 0.000
0.500 0.500 0.500
```

Output
energy relative to the elements: -0.024 eV per atom
polymorph energy (0 for the lowest one): 0.0493 eV per atom


7.
DFT (PBE) results for a relaxed structure of CsAs2AuSe4.

The structure in POSCAR format:
```
CsAs2AuSe4
1.0
7.100 0.000 0.000
3.550 6.412 1.673
3.550 2.193 6.253
Se As Cs Au
4 2 1 1
Direct
0.500 0.425 0.897
0.822 0.575 0.103
0.500 0.103 0.575
0.178 0.897 0.425
0.774 0.726 0.726
0.226 0.274 0.274
0.000 0.000 0.000
0.500 0.500 0.500
```

Output
DFT total energy: -29.0 eV for the cell shown


8.
DFT (PBE) results for a relaxed structure of YHoCd.

The structure in POSCAR format:
```
YHoCd
1.0
-3.754 2.908 -1.960
-4.843 -1.720 -0.009
-3.488 2.133 3.113
Cd Y Ho
1 1 1
Direct
0.000 0.000 0.000
0.750 0.750 0.750
0.250 0.250 0.250
```

Output
energy relative to the elements: 0.081 eV per atom
polymorph energy (0 for the lowest one): 0.2845 eV per atom


9.
DFT (PBE) results for a relaxed structure of Y4CuAu.

The structure in POSCAR format:
```
Y4CuAu
1.0
0.000 4.333 4.333
4.333 0.000 4.333
4.333 4.333 0.000
Y Cu Au
4 1 1
Direct
0.375 0.375 0.375
0.375 0.874 0.375
0.375 0.375 0.874
0.874 0.375 0.375
0.000 0.000 0.000
0.750 0.750 0.750
```

Output
energy relative to the elements: 0.535 eV per atom
polymorph energy (0 for the lowest one): 0.7513 eV per atom


10.
DFT (PBE) results for a relaxed structure of Ba2Mg.

The structure in POSCAR format:
```
Ba2Mg
1.0
-5.631 2.567 0.162
-1.047 -2.643 5.499
5.002 3.555 -0.824
Ba Mg
2 1
Direct
0.750 0.250 0.500
0.250 0.750 0.500
0.000 0.000 0.000
```

Output
energy relative to the elements: 0.133 eV per atom


11.
DFT (PBE) results for a relaxed structure of Er8In5Hg.

The structure in POSCAR format:
```
Er8In5Hg
1.0
7.986 0.012 -0.021
-2.691 7.519 0.021
-2.605 -3.796 6.526
Er In Hg
8 5 1
Direct
0.977 0.104 0.726
0.774 0.248 0.373
0.274 0.251 0.378
0.622 0.896 0.873
0.627 0.401 0.875
0.127 0.749 0.023
0.125 0.752 0.526
0.474 0.599 0.226
0.375 0.125 0.000
0.500 0.000 0.500
0.750 0.625 0.625
0.000 0.375 0.125
0.875 0.875 0.250
0.250 0.500 0.750
```

Output
energy relative to the elements: -0.292 eV per atom


12.
DFT (PBE) results for a relaxed structure of ScAl2Si.

The structure in POSCAR format:
```
ScAl2Si
1.0
3.383 0.000 0.000
0.000 3.764 0.000
0.000 0.000 5.497
Al Si Sc
2 1 1
Direct
0.000 0.000 0.989
0.000 0.000 0.511
0.500 0.500 0.750
0.500 0.500 0.250
```

Output
DFT total energy: -19.9 eV for the cell shown


13.
DFT (PBE) results for a relaxed structure of PrZnAu.

The structure in POSCAR format:
```
PrZnAu
1.0
3.764 0.000 0.000
0.000 4.613 0.000
0.000 -2.306 3.995
Pr Au Zn
1 1 1
Direct
0.667 0.667 0.333
0.167 0.333 0.667
0.167 0.000 0.000
```

Output
energy relative to the elements: -0.631 eV per atom


14.
DFT (PBE) results for a relaxed structure of MnSI2.

The structure in POSCAR format:
```
MnSI2
1.0
-1.702 -4.712 -4.625
-3.046 -3.677 4.867
-6.646 -1.801 -0.745
S I Mn
2 4 2
Direct
0.250 0.750 0.500
0.500 0.500 0.000
0.875 0.941 0.750
0.059 0.625 0.250
0.691 0.125 0.250
0.375 0.309 0.750
0.000 0.000 0.000
0.750 0.250 0.500
```

Output
polymorph energy (0 for the lowest one): 0.1331 eV per atom


15.
DFT (PBE) results for a relaxed structure of CoSIN2.

The structure in POSCAR format:
```
CoSIN2
1.0
-2.956 1.569 -1.955
-2.466 -1.275 2.705
0.671 4.906 2.923
S N I Co
1 2 1 1
Direct
0.000 0.000 0.500
0.000 0.500 0.000
0.500 0.000 0.000
0.000 0.000 0.000
0.500 0.500 0.500
```

Output
polymorph energy (0 for the lowest one): 0.8006 eV per atom


16.
DFT (PBE) results for a relaxed structure of NaNdDy2Se4.

The structure in POSCAR format:
```
NaNdDy2Se4
1.0
-0.639 -3.880 -1.200
3.050 1.473 -6.388
7.064 -1.298 0.435
Dy Se Nd Na
2 4 1 1
Direct
0.000 0.000 0.000
0.500 0.000 0.500
0.500 0.761 0.248
0.500 0.239 0.752
0.000 0.760 0.743
0.000 0.240 0.257
0.500 0.500 0.000
0.000 0.500 0.500
```

Output
DFT total energy: -43.2 eV for the cell shown


17.
DFT (PBE) results for a relaxed structure of LaSc2P2.

The structure in POSCAR format:
```
LaSc2P2
1.0
-1.026 -7.177 2.259
7.267 -1.536 -1.580
0.915 0.914 3.319
Sc P La
4 4 2
Direct
0.150 0.650 0.500
0.850 0.350 0.500
0.350 0.150 0.500
0.650 0.850 0.500
0.641 0.141 0.000
0.359 0.859 0.000
0.859 0.641 0.000
0.141 0.359 0.000
0.500 0.500 0.000
0.000 0.000 0.000
```

Output
energy relative to the elements: -1.063 eV per atom
polymorph energy (0 for the lowest one): 0.0530 eV per atom


18.
DFT (PBE) results for a relaxed structure of Ti2NbCu2.

The structure in POSCAR format:
```
Ti2NbCu2
1.0
7.307 0.000 0.000
0.000 7.307 0.000
0.000 0.000 2.896
Ti Cu Nb
4 4 2
Direct
0.159 0.341 0.000
0.841 0.659 0.000
0.341 0.841 0.000
0.659 0.159 0.000
0.365 0.135 0.500
0.865 0.365 0.500
0.635 0.865 0.500
0.135 0.635 0.500
0.000 0.000 0.000
0.500 0.500 0.000
```

Output
energy relative to the elements: 0.092 eV per atom
polymorph energy (0 for the lowest one): 0.0842 eV per atom


19.
DFT (PBE) results for a relaxed structure of SrLiErI6.

The structure in POSCAR format:
```
SrLiErI6
1.0
7.714 0.000 0.000
-3.857 6.680 0.000
0.000 0.000 14.393
Li I Sr Er
2 12 2 2
Direct
0.667 0.333 0.750
0.333 0.667 0.250
0.644 0.000 0.369
0.356 0.000 0.131
0.356 0.356 0.869
0.356 0.000 0.631
0.644 0.000 0.869
0.644 0.644 0.631
0.000 0.644 0.869
0.356 0.356 0.369
0.000 0.356 0.131
0.000 0.356 0.631
0.000 0.644 0.369
0.644 0.644 0.131
0.000 0.000 0.500
0.000 0.000 0.000
0.333 0.667 0.750
0.667 0.333 0.250
```

Output
DFT total energy: -60.4 eV for the cell shown


20.
DFT (PBE) results for a relaxed structure of Cs3YSn.

The structure in POSCAR format:
```
Cs3YSn
1.0
-4.079 1.732 -5.506
-5.438 -3.413 2.955
-1.934 5.942 3.303
Sn Cs Y
1 3 1
Direct
0.500 0.500 0.500
0.500 0.000 0.000
0.000 0.500 0.000
0.000 0.000 0.500
0.000 0.000 0.000
```

Output
energy relative to the elements: 0.992 eV per atom


21.
DFT (PBE) results for a relaxed structure of Pm3GeBi.

The structure in POSCAR format:
```
Pm3GeBi
1.0
-3.488 -2.058 3.800
-1.129 -4.280 -3.354
4.172 -2.879 2.269
Pm Ge Bi
3 1 1
Direct
0.000 0.500 0.000
0.500 0.000 0.000
0.000 0.000 0.500
0.000 0.000 0.000
0.500 0.500 0.500
```

Output
energy relative to the elements: -0.424 eV per atom
polymorph energy (0 for the lowest one): 0.1752 eV per atom


22.
DFT (PBE) results for a relaxed structure of Y2ZnHg2.

The structure in POSCAR format:
```
Y2ZnHg2
1.0
4.511 0.000 0.000
2.256 5.504 -0.459
2.256 0.031 9.831
Y Hg Zn
4 4 2
Direct
0.080 0.737 0.102
0.920 0.263 0.898
0.681 0.296 0.343
0.319 0.704 0.657
0.071 0.282 0.575
0.654 0.812 0.880
0.346 0.188 0.120
0.929 0.718 0.425
0.386 0.894 0.334
0.614 0.106 0.666
```

Output
energy relative to the elements: -0.407 eV per atom
polymorph energy (0 for the lowest one): 0.0000 eV per atom


23.
DFT (PBE) results for a relaxed structure of MgMn2Pt.

The structure in POSCAR format:
```
MgMn2Pt
1.0
2.867 0.000 0.000
0.000 3.897 0.000
0.000 0.000 5.635
Pt Mg Mn
1 1 2
Direct
0.500 0.500 0.250
0.500 0.500 0.750
0.000 0.000 0.487
0.000 0.000 0.013
```

Output
energy relative to the elements: -0.068 eV per atom


24.
DFT (PBE) results for a relaxed structure of Fe2TcNi.

The structure in POSCAR format:
```
Fe2TcNi
1.0
4.106 0.000 0.000
2.053 3.556 0.000
2.053 1.185 3.352
Fe Tc Ni
2 1 1
Direct
0.000 0.000 0.000
0.250 0.250 0.250
0.750 0.750 0.750
0.500 0.500 0.500
```

Output
energy relative to the elements: 0.169 eV per atom


25.
DFT (PBE) results for a relaxed structure of Ba3Ca2Sb4.

The structure in POSCAR format:
```
Ba3Ca2Sb4
1.0
-5.098 -0.137 -1.226
1.465 -5.387 -5.493
0.753 -4.146 8.554
Sb Ba Ca
4 3 2
Direct
0.502 0.687 0.004
0.787 0.787 0.574
0.213 0.213 0.426
0.498 0.313 0.996
0.861 0.434 0.723
0.139 0.566 0.277
0.000 0.000 0.000
0.329 0.001 0.659
0.671 0.999 0.341
```

Output
DFT total energy: -35.1 eV for the cell shown


26.
DFT (PBE) results for a relaxed structure of FeCu2Hg.

The structure in POSCAR format:
```
FeCu2Hg
1.0
4.587 0.007 0.000
-1.061 4.463 0.000
0.000 0.000 2.852
Cu Fe Hg
2 1 1
Direct
0.000 0.000 0.000
0.500 0.500 0.000
0.500 0.000 0.500
0.000 0.500 0.500
```

Output
energy relative to the elements: 0.360 eV per atom
polymorph energy (0 for the lowest one): 0.0988 eV per atom